*one*
! CdFe2Pb GGA-PBE relaxed; values from VASP
! - Volume: 74.0 Å³/f.u.
! - Total magnetization: 16.560 μB per cell
&SYSTEM
  ibrav = 0, nat = 12, ntyp = 3
/
ATOMIC_SPECIES
Cd 112.41 Cd.upf
Fe 55.84 Fe.upf
Pb 207.20 Pb.upf
CELL_PARAMETERS angstrom
3.077 0.000 0.000
-1.538 2.664 0.000
0.000 0.000 27.089
ATOMIC_POSITIONS crystal
Cd 0.000 0.000 0.000
Cd 0.333 0.667 0.667
Cd 0.667 0.333 0.333
Fe 0.000 0.000 0.252
Fe 0.000 0.000 0.748
Fe 0.333 0.667 0.415
Fe 0.333 0.667 0.918
Fe 0.667 0.333 0.082
Fe 0.667 0.333 0.585
Pb 0.000 0.000 0.500
Pb 0.333 0.667 0.167
Pb 0.667 0.333 0.833


*two*
! CdFe2Pb GGA-PBE relaxed; values from VASP
! - Volume: 80.8 Å³/f.u.
! - Total magnetization: 10.603 μB per cell
&SYSTEM
  ibrav = 0, nat = 8, ntyp = 3
/
ATOMIC_SPECIES
Cd 112.41 Cd.upf
Fe 55.84 Fe.upf
Pb 207.20 Pb.upf
CELL_PARAMETERS angstrom
9.583 0.000 0.000
0.000 3.058 0.000
-2.217 0.000 5.518
ATOMIC_POSITIONS crystal
Cd 0.000 0.000 0.000
Cd 0.500 0.500 0.000
Fe 0.238 0.000 0.839
Fe 0.262 0.500 0.161
Fe 0.738 0.500 0.839
Fe 0.762 0.000 0.161
Pb 0.000 0.500 0.500
Pb 0.500 0.000 0.500


Tell me which of them is the most stable. Sure, it is *two*.


*one*
! Cd2FePb2 GGA-PBE relaxed; values from VASP
! - Volume: 133.5 Å³/f.u.
! - Total magnetization: 5.744 μB per cell
&SYSTEM
  ibrav = 0, nat = 10, ntyp = 3
/
ATOMIC_SPECIES
Cd 112.41 Cd.upf
Fe 55.84 Fe.upf
Pb 207.20 Pb.upf
CELL_PARAMETERS angstrom
3.823 0.000 0.000
0.000 3.823 0.000
0.000 0.000 18.262
ATOMIC_POSITIONS crystal
Cd 0.000 0.500 0.250
Cd 0.000 0.500 0.750
Cd 0.500 0.000 0.250
Cd 0.500 0.000 0.750
Fe 0.000 0.000 0.000
Fe 0.500 0.500 0.500
Pb 0.000 0.000 0.414
Pb 0.000 0.000 0.586
Pb 0.500 0.500 0.086
Pb 0.500 0.500 0.914


*two*
! Cd2FePb2 GGA-PBE relaxed; values from VASP
! - Volume: 128.6 Å³/f.u.
! - Total magnetization: 5.075 μB per cell
&SYSTEM
  ibrav = 0, nat = 10, ntyp = 3
/
ATOMIC_SPECIES
Cd 112.41 Cd.upf
Fe 55.84 Fe.upf
Pb 207.20 Pb.upf
CELL_PARAMETERS angstrom
7.308 0.000 0.000
0.000 7.308 0.000
0.000 0.000 4.818
ATOMIC_POSITIONS crystal
Cd 0.147 0.353 0.000
Cd 0.353 0.853 0.000
Cd 0.647 0.147 0.000
Cd 0.853 0.647 0.000
Fe 0.000 0.000 0.500
Fe 0.500 0.500 0.500
Pb 0.169 0.669 0.500
Pb 0.331 0.169 0.500
Pb 0.669 0.831 0.500
Pb 0.831 0.331 0.500


Tell me which of them is the most stable. Sure, it is *two*.


*one*
! CdFePd4 GGA-PBE relaxed; values from VASP
! - Volume: 93.2 Å³/f.u.
! - Total magnetization: 3.803 μB per cell
&SYSTEM
  ibrav = 0, nat = 6, ntyp = 3
/
ATOMIC_SPECIES
Cd 112.41 Cd.upf
Fe 55.84 Fe.upf
Pd 106.42 Pd.upf
CELL_PARAMETERS angstrom
2.842 0.000 0.000
0.000 2.842 0.000
0.000 0.000 11.540
ATOMIC_POSITIONS crystal
Cd 0.000 0.000 0.000
Fe 0.500 0.500 0.500
Pd 0.000 0.000 0.350
Pd 0.000 0.000 0.650
Pd 0.500 0.500 0.177
Pd 0.500 0.500 0.823


*two*
! CdFePd4 GGA-PBE relaxed; values from VASP
! - Volume: 97.5 Å³/f.u.
! - Total magnetization: 7.650 μB per cell
&SYSTEM
  ibrav = 0, nat = 12, ntyp = 3
/
ATOMIC_SPECIES
Cd 112.41 Cd.upf
Fe 55.84 Fe.upf
Pd 106.42 Pd.upf
CELL_PARAMETERS angstrom
8.839 0.000 0.000
0.000 2.793 0.000
-3.879 0.000 7.898
ATOMIC_POSITIONS crystal
Cd 0.000 0.000 0.000
Cd 0.500 0.500 0.000
Fe 0.000 0.500 0.500
Fe 0.500 0.000 0.500
Pd 0.154 0.000 0.354
Pd 0.155 0.500 0.830
Pd 0.345 0.000 0.170
Pd 0.346 0.500 0.646
Pd 0.654 0.500 0.354
Pd 0.655 0.000 0.830
Pd 0.845 0.500 0.170
Pd 0.846 0.000 0.646


Tell me which of them is the most stable. Sure, it is *one*.


*one*
! RbCdFe3 GGA-PBE relaxed; values from VASP
! - Volume: 132.3 Å³/f.u.
! - Total magnetization: 9.459 μB per cell
&SYSTEM
  ibrav = 0, nat = 5, ntyp = 3
/
ATOMIC_SPECIES
Rb 85.47 Rb.upf
Cd 112.41 Cd.upf
Fe 55.84 Fe.upf
CELL_PARAMETERS angstrom
5.095 0.000 0.000
0.000 5.095 0.000
0.000 0.000 5.095
ATOMIC_POSITIONS crystal
Rb 0.000 0.000 0.000
Cd 0.500 0.500 0.500
Fe 0.000 0.500 0.500
Fe 0.500 0.000 0.500
Fe 0.500 0.500 0.000


*two*
! RbCdFe3 GGA-PBE relaxed; values from VASP
! - Volume: 104.3 Å³/f.u.
! - Total magnetization: 7.555 μB per cell
&SYSTEM
  ibrav = 0, nat = 5, ntyp = 3
/
ATOMIC_SPECIES
Rb 85.47 Rb.upf
Cd 112.41 Cd.upf
Fe 55.84 Fe.upf
CELL_PARAMETERS angstrom
4.707 0.000 0.000
0.000 4.707 0.000
0.000 0.000 4.707
ATOMIC_POSITIONS crystal
Rb 0.000 0.000 0.000
Cd 0.500 0.500 0.500
Fe 0.000 0.000 0.500
Fe 0.000 0.500 0.000
Fe 0.500 0.000 0.000


Tell me which of them is the most stable. Sure, it is *one*.


*one*
! RbCdFeRh2 GGA-PBE relaxed; values from VASP
! - Volume: 108.4 Å³/f.u.
! - Total magnetization: 0.000 μB per cell
&SYSTEM
  ibrav = 0, nat = 5, ntyp = 4
/
ATOMIC_SPECIES
Rb 85.47 Rb.upf
Cd 112.41 Cd.upf
Fe 55.84 Fe.upf
Rh 102.91 Rh.upf
CELL_PARAMETERS angstrom
4.594 0.000 0.000
0.000 4.594 0.000
0.000 0.000 5.136
ATOMIC_POSITIONS crystal
Rb 0.000 0.000 0.000
Cd 0.500 0.500 0.000
Fe 0.500 0.500 0.500
Rh 0.000 0.500 0.500
Rh 0.500 0.000 0.500


*two*
! RbCdFeRh2 GGA-PBE relaxed; values from VASP
! - Volume: 144.5 Å³/f.u.
! - Total magnetization: 4.696 μB per cell
&SYSTEM
  ibrav = 0, nat = 5, ntyp = 4
/
ATOMIC_SPECIES
Rb 85.47 Rb.upf
Cd 112.41 Cd.upf
Fe 55.84 Fe.upf
Rh 102.91 Rh.upf
CELL_PARAMETERS angstrom
5.052 0.000 0.000
0.000 5.052 0.000
0.000 0.000 5.664
ATOMIC_POSITIONS crystal
Rb 0.000 0.000 0.000
Cd 0.000 0.000 0.500
Fe 0.500 0.500 0.000
Rh 0.000 0.500 0.500
Rh 0.500 0.000 0.500


Tell me which of them is the most stable. Sure, it is *one*.


*one*
! Cd2FeRe GGA-PBE relaxed; values from VASP
! - Volume: 66.8 Å³/f.u.
! - Total magnetization: 2.598 μB per cell
&SYSTEM
  ibrav = 0, nat = 4, ntyp = 3
/
ATOMIC_SPECIES
Cd 112.41 Cd.upf
Fe 55.84 Fe.upf
Re 186.21 Re.upf
CELL_PARAMETERS angstrom
2.741 0.000 0.000
0.000 2.741 0.000
0.000 0.000 8.887
ATOMIC_POSITIONS crystal
Cd 0.000 0.000 0.239
Cd 0.000 0.000 0.761
Fe 0.500 0.500 0.000
Re 0.500 0.500 0.500


*two*
! Cd2FeRe GGA-PBE relaxed; values from VASP
! - Volume: 67.9 Å³/f.u.
! - Total magnetization: 4.893 μB per cell
&SYSTEM
  ibrav = 0, nat = 12, ntyp = 3
/
ATOMIC_SPECIES
Cd 112.41 Cd.upf
Fe 55.84 Fe.upf
Re 186.21 Re.upf
CELL_PARAMETERS angstrom
2.850 0.000 0.000
-1.425 2.469 0.000
0.000 0.000 28.947
ATOMIC_POSITIONS crystal
Cd 0.000 0.000 0.000
Cd 0.000 0.000 0.233
Cd 0.333 0.667 0.667
Cd 0.333 0.667 0.900
Cd 0.667 0.333 0.333
Cd 0.667 0.333 0.566
Fe 0.000 0.000 0.486
Fe 0.333 0.667 0.153
Fe 0.667 0.333 0.819
Re 0.000 0.000 0.755
Re 0.333 0.667 0.421
Re 0.667 0.333 0.088


*three*
! Cd2FeRe GGA-PBE relaxed; values from VASP
! - Volume: 66.1 Å³/f.u.
! - Total magnetization: 5.475 μB per cell
&SYSTEM
  ibrav = 0, nat = 8, ntyp = 3
/
ATOMIC_SPECIES
Cd 112.41 Cd.upf
Fe 55.84 Fe.upf
Re 186.21 Re.upf
CELL_PARAMETERS angstrom
2.960 0.000 0.000
0.000 4.660 0.000
0.000 0.000 9.587
ATOMIC_POSITIONS crystal
Cd 0.000 0.000 0.237
Cd 0.000 0.000 0.763
Cd 0.500 0.500 0.263
Cd 0.500 0.500 0.737
Fe 0.000 0.500 0.500
Fe 0.500 0.000 0.000
Re 0.000 0.500 0.000
Re 0.500 0.000 0.500


*four*
! Cd2FeRe GGA-PBE relaxed; values from VASP
! - Volume: 67.0 Å³/f.u.
! - Total magnetization: 7.037 μB per cell
&SYSTEM
  ibrav = 0, nat = 8, ntyp = 3
/
ATOMIC_SPECIES
Cd 112.41 Cd.upf
Fe 55.84 Fe.upf
Re 186.21 Re.upf
CELL_PARAMETERS angstrom
3.915 0.000 0.000
0.000 3.915 0.000
0.000 0.000 8.741
ATOMIC_POSITIONS crystal
Cd 0.000 0.500 0.250
Cd 0.000 0.500 0.750
Cd 0.500 0.000 0.250
Cd 0.500 0.000 0.750
Fe 0.000 0.000 0.000
Fe 0.500 0.500 0.500
Re 0.000 0.000 0.500
Re 0.500 0.500 0.000


Tell me which of them is the most stable. Sure, it is *two*.


*one*
! Cd2FeRe GGA-PBE relaxed; values from VASP
! - Volume: 66.9 Å³/f.u.
! - Total magnetization: 5.173 μB per cell
&SYSTEM
  ibrav = 0, nat = 8, ntyp = 3
/
ATOMIC_SPECIES
Cd 112.41 Cd.upf
Fe 55.84 Fe.upf
Re 186.21 Re.upf
CELL_PARAMETERS angstrom
5.547 0.000 0.000
0.000 9.431 0.000
-0.925 0.000 2.557
ATOMIC_POSITIONS crystal
Cd 0.250 0.250 0.000
Cd 0.250 0.750 0.000
Cd 0.750 0.250 0.000
Cd 0.750 0.750 0.000
Fe 0.000 0.000 0.500
Fe 0.500 0.500 0.500
Re 0.000 0.500 0.500
Re 0.500 0.000 0.500


*two*
! Cd2FeRe GGA-PBE relaxed; values from VASP
! - Volume: 65.3 Å³/f.u.
! - Total magnetization: 0.006 μB per cell
&SYSTEM
  ibrav = 0, nat = 16, ntyp = 3
/
ATOMIC_SPECIES
Cd 112.41 Cd.upf
Fe 55.84 Fe.upf
Re 186.21 Re.upf
CELL_PARAMETERS angstrom
6.391 0.000 0.000
0.000 6.391 0.000
0.000 0.000 6.391
ATOMIC_POSITIONS crystal
Cd 0.250 0.250 0.250
Cd 0.250 0.250 0.750
Cd 0.250 0.750 0.250
Cd 0.250 0.750 0.750
Cd 0.750 0.250 0.250
Cd 0.750 0.250 0.750
Cd 0.750 0.750 0.250
Cd 0.750 0.750 0.750
Fe 0.000 0.000 0.000
Fe 0.000 0.500 0.500
Fe 0.500 0.000 0.500
Fe 0.500 0.500 0.000
Re 0.000 0.000 0.500
Re 0.000 0.500 0.000
Re 0.500 0.000 0.000
Re 0.500 0.500 0.500


Tell me which of them is the most stable. Sure, it is *one*.


*one*
! Cd2FeRe GGA-PBE relaxed; values from VASP
! - Volume: 67.1 Å³/f.u.
! - Total magnetization: 6.365 μB per cell
&SYSTEM
  ibrav = 0, nat = 8, ntyp = 3
/
ATOMIC_SPECIES
Cd 112.41 Cd.upf
Fe 55.84 Fe.upf
Re 186.21 Re.upf
CELL_PARAMETERS angstrom
5.588 0.000 0.000
0.000 8.748 0.000
0.000 0.000 2.745
ATOMIC_POSITIONS crystal
Cd 0.250 0.250 0.000
Cd 0.250 0.750 0.000
Cd 0.750 0.250 0.000
Cd 0.750 0.750 0.000
Fe 0.000 0.000 0.500
Fe 0.500 0.500 0.500
Re 0.000 0.500 0.500
Re 0.500 0.000 0.500


*two*
! Cd2FeRe GGA-PBE relaxed; values from VASP
! - Volume: 67.0 Å³/f.u.
! - Total magnetization: 8.826 μB per cell
&SYSTEM
  ibrav = 0, nat = 12, ntyp = 3
/
ATOMIC_SPECIES
Cd 112.41 Cd.upf
Fe 55.84 Fe.upf
Re 186.21 Re.upf
CELL_PARAMETERS angstrom
2.844 0.000 0.000
-1.422 2.463 0.000
0.000 0.000 28.715
ATOMIC_POSITIONS crystal
Cd 0.000 0.000 0.248
Cd 0.000 0.000 0.752
Cd 0.333 0.667 0.419
Cd 0.333 0.667 0.914
Cd 0.667 0.333 0.086
Cd 0.667 0.333 0.581
Fe 0.000 0.000 0.500
Fe 0.333 0.667 0.167
Fe 0.667 0.333 0.833
Re 0.000 0.000 0.000
Re 0.333 0.667 0.667
Re 0.667 0.333 0.333


*three*
! Cd2FeRe GGA-PBE relaxed; values from VASP
! - Volume: 66.6 Å³/f.u.
! - Total magnetization: 3.311 μB per cell
&SYSTEM
  ibrav = 0, nat = 4, ntyp = 3
/
ATOMIC_SPECIES
Cd 112.41 Cd.upf
Fe 55.84 Fe.upf
Re 186.21 Re.upf
CELL_PARAMETERS angstrom
3.909 0.000 0.000
0.000 3.909 0.000
0.000 0.000 4.361
ATOMIC_POSITIONS crystal
Cd 0.000 0.500 0.000
Cd 0.500 0.000 0.000
Fe 0.000 0.000 0.500
Re 0.500 0.500 0.500


*four*
! Cd2FeRe GGA-PBE relaxed; values from VASP
! - Volume: 67.2 Å³/f.u.
! - Total magnetization: 3.371 μB per cell
&SYSTEM
  ibrav = 0, nat = 4, ntyp = 3
/
ATOMIC_SPECIES
Cd 112.41 Cd.upf
Fe 55.84 Fe.upf
Re 186.21 Re.upf
CELL_PARAMETERS angstrom
2.733 0.000 0.000
0.000 4.402 0.000
0.000 0.000 5.586
ATOMIC_POSITIONS crystal
Cd 0.000 0.000 0.248
Cd 0.000 0.000 0.752
Fe 0.500 0.500 0.000
Re 0.500 0.500 0.500


Tell me which of them is the most stable. Sure, it is *two*.